[1]
VASP calculation (SCAN) on a crystal of BaCrCu2 relaxed with PBEsol.

```
data_BaCrCu2
_cell_length_a 4.551
_cell_length_b 5.652
_cell_length_c 7.080
_cell_angle_alpha 90.00
_cell_angle_beta 90.00
_cell_angle_gamma 90.00
_space_group_name_H-M_alt 'I m m m'
_space_group_IT_number 71
_space_group_name_Hall '-I 2 2'
loop_
_atom_site_label
_atom_site_type_symbol
_atom_site_fract_x
_atom_site_fract_y
_atom_site_fract_z
Ba1 Ba 0.000 0.000 0.000
Cr1 Cr 0.000 0.000 0.500
Cu1 Cu 0.000 0.500 0.175
```

[2]
VASP calculation (SCAN) on a crystal of BaCrCu2 relaxed with PBEsol.

```
data_BaCrCu2
_cell_length_a 3.934
_cell_length_b 3.640
_cell_length_c 12.246
_cell_angle_alpha 90.00
_cell_angle_beta 90.00
_cell_angle_gamma 90.00
_space_group_name_H-M_alt 'A m m 2'
_space_group_IT_number 38
_space_group_name_Hall 'A 2 -2'
loop_
_atom_site_label
_atom_site_type_symbol
_atom_site_fract_x
_atom_site_fract_y
_atom_site_fract_z
Ba1 Ba 0.000 0.000 0.000
Cr1 Cr 0.500 0.000 0.720
Cu1 Cu 0.000 0.000 0.252
Cu2 Cu 0.500 0.000 0.363
```

[3]
# SCAN Ba2ZnCr2CuF14, PBEsol geometry
data_Ba2ZnCr2CuF14
_cell_length_a 13.878
_cell_length_b 5.176
_cell_length_c 14.361
_cell_angle_alpha 90.00
_cell_angle_beta 91.27
_cell_angle_gamma 90.00
_space_group_name_H-M_alt 'C 1 2/c 1'
_space_group_IT_number 15
_space_group_name_Hall '-C 2yc'
loop_
_atom_site_label
_atom_site_type_symbol
_atom_site_fract_x
_atom_site_fract_y
_atom_site_fract_z
Ba1 Ba 0.185 0.066 0.121
Zn1 Zn 0.000 0.449 0.750
Cr1 Cr 0.121 0.007 0.374
Cu1 Cu 0.000 0.500 0.000
F1 F 0.003 0.110 0.662
F2 F 0.052 0.435 0.125
F3 F 0.079 0.188 0.482
F4 F 0.114 0.296 0.291
F5 F 0.138 0.285 0.953
F6 F 0.169 0.199 0.776
F7 F 0.248 0.090 0.409
# - E_form (uncorrected): -305.8 kJ per mole of atoms

no.,total magnetic moment (μB/f.u.),final energy (eV per atom)
1,4.69,-21.662
2,4.71,-21.762
3,7.00,-12.877